A plane-wave DFT calculation with PBE was carried out for a relaxed YGeBr2 crystal.

Results
formation energy from raw total energies = -0.491 eV per atom
excess energy over the best structure of this formula in the dataset = 0.0000 eV per atom
calculated volume = 95.9 Å³/f.u.
uncorrected energy = -16.39 eV per cell

abc: 5.1386 5.1386 5.1386
angles: 60.00 60.00 60.00
Closest atoms and distances in Å follow each position.
Sites, in units of the cell vectors:
Y: 0.5000 0.5000 0.5000  8 Br 3.15
Br: 0.2500 0.2500 0.2500  4 Ge 3.15, 4 Y 3.15
Br: 0.7500 0.7500 0.7500  4 Ge 3.15, 4 Y 3.15
Ge: 0.0000 0.0000 0.0000  8 Br 3.15